# CeYHo3 (PBE, optimized geometry)
data_CeYHo3
_chemical_formula_sum 'Ce2 Y2 Ho6'
_cell_length_a 5.381
_cell_length_b 7.008
_cell_length_c 8.760
_cell_angle_alpha 89.95
_cell_angle_beta 72.14
_cell_angle_gamma 90.00
_space_group_name_H-M_alt 'P -1'
_space_group_IT_number 2
loop_
_space_group_symop_operation_xyz
'x,y,z'
'-x,-y,-z'
loop_
_atom_site_label
_atom_site_fract_x
_atom_site_fract_y
_atom_site_fract_z
Ce1 0.201 0.248 0.100
Y1 0.393 0.500 0.714
Ho1 0.001 0.751 0.497
Ho2 0.201 0.751 0.098
Ho3 0.393 0.001 0.713
# E above lowest polymorph   0 meV per atom
# E   -5.120 eV per atom
# Spin magnetization   2.325 μB/cell
# N(E_F)   23.07 states/eV per cell
# Formation energy   10.3 kJ per mole of atoms